An optimized crystal structure of CaV2O10, computed with GGA+U.

a b c (Å): 6.7913 7.1357 9.0981
angles (deg): 107.48 91.85 109.30
With the nearest neighbours (Å) after each atom.
Space group P-1 (No. 2)
One atom of each set of equivalent atoms:
Ca 0.1915 0.1798 0.3378 [2 per cell]  4 O 2.25-2.50
V 0.1758 0.6054 0.1545 [2 per cell]  2 O 1.68
V 0.3508 0.4540 0.8059 [2 per cell]  4 O 1.68-1.87
O 0.1338 0.4534 0.2687 [2 per cell]  1 V 1.68
O 0.1344 0.4741 0.9244 [2 per cell]  3 V 1.87-2.04
O 0.1341 0.9745 0.8776 [2 per cell]  1 O 1.31
O 0.2081 0.8550 0.2567 [2 per cell]  1 V 1.68
O 0.2132 0.9044 0.6402 [2 per cell]  1 O 1.30
O 0.2241 0.2793 0.6272 [2 per cell]  1 V 1.71
O 0.2782 0.9593 0.7877 [2 per cell]  2 O 1.30-1.31
O 0.4571 0.5651 0.4989 [2 per cell]  1 O 1.25
O 0.4636 0.6454 0.1315 [2 per cell]  2 V 1.79-1.91
O 0.4945 0.6859 0.7886 [2 per cell]  1 V 1.68

An optimized crystal structure of SrVBiO4, computed with GGA+U.

a b c (Å): 6.2204 5.4020 8.3891
angles (deg): 90.00 107.88 90.00
With the nearest neighbours (Å) after each atom.
Space group P2_1/m (No. 11)
One atom of each set of equivalent atoms:
Sr 0.2449 0.2500 0.0012 [2 per cell]  5 O 2.47-2.56
V 0.2698 0.7500 0.2571 [2 per cell]  4 O 1.74-1.76
Bi 0.1191 0.7500 0.6101 [2 per cell]  1 O 2.25
O 0.0863 0.5016 0.1894 [4 per cell]  1 V 1.74
O 0.3808 0.7500 0.4745 [2 per cell]  1 V 1.74
O 0.4545 0.7500 0.1354 [2 per cell]  1 V 1.76

The records above give, respectively, mass density values of 2.6; 5.1 Mg/m³.
The records above give, respectively, final energy values of -83.90; -46.24 eV/f.u..